Entry 1:
Compound: CdSnN2O
Source: Alexandria
Functional: GGA-PBE
Structure: optimized geometry

The structure in CIF format:
```
data_CdSnN2O
_chemical_formula_sum 'Cd1 Sn1 N2 O1'
_cell_length_a 4.210
_cell_length_b 4.210
_cell_length_c 4.085
_cell_angle_alpha 90.00
_cell_angle_beta 90.00
_cell_angle_gamma 90.00
_symmetry_space_group_name_H-M 'P 4/m m m'
_symmetry_Int_Tables_number 123
_symmetry_space_group_name_Hall '-P 4 2'
loop_
_atom_site_label
_atom_site_fract_x
_atom_site_fract_y
_atom_site_fract_z
Cd1 0.000 0.000 0.000
Sn1 0.500 0.500 0.500
N1 0.000 0.500 0.500
O1 0.500 0.500 0.000
```

* electronic total energy: -4.5916 eV per atom
* ΔE_f (raw): 0.71 eV per atom

---

Entry 2:
Compound: CdSnNO2
Source: Alexandria
Functional: GGA-PBE
Structure: optimized geometry

The structure in CIF format:
```
data_CdSnNO2
_chemical_formula_sum 'Cd1 Sn1 N1 O2'
_cell_length_a 3.827
_cell_length_b 3.827
_cell_length_c 7.834
_cell_angle_alpha 90.00
_cell_angle_beta 90.00
_cell_angle_gamma 90.00
_symmetry_space_group_name_H-M 'P 4/m m m'
_symmetry_Int_Tables_number 123
_symmetry_space_group_name_Hall '-P 4 2'
loop_
_atom_site_label
_atom_site_fract_x
_atom_site_fract_y
_atom_site_fract_z
Cd1 0.000 0.000 0.000
Sn1 0.000 0.000 0.500
N1 0.500 0.500 0.000
O1 0.000 0.500 0.500
```

* electronic total energy: -4.2355 eV per atom
* ΔE_f (raw): 0.40 eV per atom

---

Entry 3:
Compound: CdSnNO2
Source: Alexandria
Functional: GGA-PBE
Structure: optimized geometry

The structure in CIF format:
```
data_CdSnNO2
_chemical_formula_sum 'Cd1 Sn1 N1 O2'
_cell_length_a 4.273
_cell_length_b 4.273
_cell_length_c 4.206
_cell_angle_alpha 90.00
_cell_angle_beta 90.00
_cell_angle_gamma 90.00
_symmetry_space_group_name_H-M 'P 4/m m m'
_symmetry_Int_Tables_number 123
_symmetry_space_group_name_Hall '-P 4 2'
loop_
_atom_site_label
_atom_site_fract_x
_atom_site_fract_y
_atom_site_fract_z
Cd1 0.000 0.000 0.000
Sn1 0.500 0.500 0.500
N1 0.000 0.000 0.500
O1 0.000 0.500 0.000
```

* electronic total energy: -4.0891 eV per atom
* ΔE_f (raw): 0.54 eV per atom

---

Entry 4:
Compound: CdSnNO2
Source: Alexandria
Functional: GGA-PBE
Structure: optimized geometry

The structure in CIF format:
```
data_CdSnNO2
_chemical_formula_sum 'Cd1 Sn1 N1 O2'
_cell_length_a 4.075
_cell_length_b 4.075
_cell_length_c 4.194
_cell_angle_alpha 90.00
_cell_angle_beta 90.00
_cell_angle_gamma 90.00
_symmetry_space_group_name_H-M 'P 4/m m m'
_symmetry_Int_Tables_number 123
_symmetry_space_group_name_Hall '-P 4 2'
loop_
_atom_site_label
_atom_site_fract_x
_atom_site_fract_y
_atom_site_fract_z
Cd1 0.000 0.000 0.000
Sn1 0.500 0.500 0.500
N1 0.500 0.500 0.000
O1 0.000 0.500 0.500
```

* electronic total energy: -4.7850 eV per atom
* ΔE_f (raw): -0.15 eV per atom